No. 1
# GaPdSe3 | Alexandria | PBE | relaxed
data_GaPdSe3
_chemical_formula_sum 'Ga1 Pd1 Se3'
_cell_length_a 5.0142
_cell_length_b 5.0142
_cell_length_c 5.0142
_cell_angle_alpha 90.00
_cell_angle_beta 90.00
_cell_angle_gamma 90.00
_space_group_name_H-M_alt 'P m -3 m'
_space_group_IT_number 221
_space_group_name_Hall '-P 4 2 3'
loop_
_atom_site_label
_atom_site_type_symbol
_atom_site_fract_x
_atom_site_fract_y
_atom_site_fract_z
_atom_site_occupancy
Ga1 Ga 0.0000 0.0000 0.0000 1
Pd1 Pd 0.5000 0.5000 0.5000 1
Se1 Se 0.0000 0.5000 0.5000 1
# - Crystal system: cubic
# - Uncorrected energy: -3.459 eV per atom

---

No. 2
# GaPdSe | Alexandria | PBE | relaxed
data_GaPdSe
_chemical_formula_sum 'Ga4 Pd4 Se4'
_cell_length_a 12.0897
_cell_length_b 4.5464
_cell_length_c 4.7625
_cell_angle_alpha 90.00
_cell_angle_beta 94.62
_cell_angle_gamma 90.00
_space_group_name_H-M_alt 'C 1 2/m 1'
_space_group_IT_number 12
loop_
_space_group_symop_operation_xyz
'x,y,z'
'-x,-y,-z'
'-x,y,-z'
'x,-y,z'
'x+1/2,y+1/2,z'
'-x+1/2,-y+1/2,-z'
'-x+1/2,y+1/2,-z'
'x+1/2,-y+1/2,z'
loop_
_atom_site_label
_atom_site_type_symbol
_atom_site_fract_x
_atom_site_fract_y
_atom_site_fract_z
_atom_site_occupancy
Ga1 Ga 0.1421 0.0000 0.2711 1
Pd1 Pd 0.0711 0.0000 0.7661 1
Se1 Se 0.1502 0.5000 0.6670 1
# - Crystal system: monoclinic
# - Uncorrected energy: -4.243 eV per atom

---

No. 3
# Ga3PdSe | Alexandria | PBE | relaxed
data_Ga3PdSe
_chemical_formula_sum 'Ga3 Pd1 Se1'
_cell_length_a 4.8510
_cell_length_b 4.8510
_cell_length_c 4.8510
_cell_angle_alpha 90.00
_cell_angle_beta 90.00
_cell_angle_gamma 90.00
_space_group_name_H-M_alt 'P m -3 m'
_space_group_IT_number 221
_space_group_name_Hall '-P 4 2 3'
loop_
_atom_site_label
_atom_site_type_symbol
_atom_site_fract_x
_atom_site_fract_y
_atom_site_fract_z
_atom_site_occupancy
Ga1 Ga 0.0000 0.0000 0.5000 1
Pd1 Pd 0.0000 0.0000 0.0000 1
Se1 Se 0.5000 0.5000 0.5000 1
# - Crystal system: cubic
# - Distance to the lowest polymorph of the same formula: 0 meV/atom
# - Uncorrected energy: -3.753 eV per atom

---

No. 4
# GaPd2Se2 | Alexandria | PBE | relaxed
data_GaPd2Se2
_chemical_formula_sum 'Ga2 Pd4 Se4'
_cell_length_a 7.2180
_cell_length_b 7.2180
_cell_length_c 3.5199
_cell_angle_alpha 90.00
_cell_angle_beta 90.00
_cell_angle_gamma 90.00
_space_group_name_H-M_alt 'P 4/m b m'
_space_group_IT_number 127
_space_group_name_Hall '-P 4 2ab'
loop_
_atom_site_label
_atom_site_type_symbol
_atom_site_fract_x
_atom_site_fract_y
_atom_site_fract_z
_atom_site_occupancy
Ga1 Ga 0.0000 0.0000 0.0000 1
Pd1 Pd 0.1456 0.3544 0.0000 1
Se1 Se 0.1614 0.6614 0.5000 1
# - Crystal system: tetragonal
# - Distance to the lowest polymorph of the same formula: 56 meV/atom
# - Uncorrected energy: -4.169 eV per atom

---

No. 5
# GaTePdSe2 | Alexandria | PBE | relaxed
data_GaTePdSe2
_chemical_formula_sum 'Ga1 Te1 Pd1 Se2'
_cell_length_a 4.9659
_cell_length_b 4.9659
_cell_length_c 5.4386
_cell_angle_alpha 90.00
_cell_angle_beta 90.00
_cell_angle_gamma 90.00
_space_group_name_H-M_alt 'P 4/m m m'
_space_group_IT_number 123
_space_group_name_Hall '-P 4 2'
loop_
_atom_site_label
_atom_site_type_symbol
_atom_site_fract_x
_atom_site_fract_y
_atom_site_fract_z
_atom_site_occupancy
Ga1 Ga 0.0000 0.0000 0.0000 1
Te1 Te 0.5000 0.5000 0.0000 1
Pd1 Pd 0.5000 0.5000 0.5000 1
Se1 Se 0.0000 0.5000 0.5000 1
# - Crystal system: tetragonal
# - Uncorrected energy: -3.430 eV per atom

---

No. 6
# Tl2GaPdSe | Alexandria | PBE | relaxed
data_Tl2GaPdSe
_chemical_formula_sum 'Tl2 Ga1 Pd1 Se1'
_cell_length_a 5.4749
_cell_length_b 5.4749
_cell_length_c 4.8851
_cell_angle_alpha 90.00
_cell_angle_beta 90.00
_cell_angle_gamma 90.00
_space_group_name_H-M_alt 'P 4/m m m'
_space_group_IT_number 123
_space_group_name_Hall '-P 4 2'
loop_
_atom_site_label
_atom_site_type_symbol
_atom_site_fract_x
_atom_site_fract_y
_atom_site_fract_z
_atom_site_occupancy
Tl1 Tl 0.0000 0.5000 0.0000 1
Ga1 Ga 0.0000 0.0000 0.0000 1
Pd1 Pd 0.5000 0.5000 0.5000 1
Se1 Se 0.0000 0.0000 0.5000 1
# - Crystal system: tetragonal
# - Uncorrected energy: -2.868 eV per atom

---

No. 7
# VGaPdSe2 | Alexandria | PBE | relaxed
data_VGaPdSe2
_chemical_formula_sum 'V1 Ga1 Pd1 Se2'
_cell_length_a 4.7347
_cell_length_b 4.7347
_cell_length_c 4.9296
_cell_angle_alpha 90.00
_cell_angle_beta 90.00
_cell_angle_gamma 90.00
_space_group_name_H-M_alt 'P 4/m m m'
_space_group_IT_number 123
_space_group_name_Hall '-P 4 2'
loop_
_atom_site_label
_atom_site_type_symbol
_atom_site_fract_x
_atom_site_fract_y
_atom_site_fract_z
_atom_site_occupancy
V1 V 0.0000 0.0000 0.0000 1
Ga1 Ga 0.5000 0.5000 0.5000 1
Pd1 Pd 0.0000 0.0000 0.5000 1
Se1 Se 0.0000 0.5000 0.0000 1
# - Crystal system: tetragonal
# - Uncorrected energy: -4.775 eV per atom

---

No. 8
# GaSiPd6 | Alexandria | PBE | relaxed
data_GaSiPd6
_chemical_formula_sum 'Ga1 Si1 Pd6'
_cell_length_a 5.3430
_cell_length_b 5.3507
_cell_length_c 5.3605
_cell_angle_alpha 68.59
_cell_angle_beta 68.75
_cell_angle_gamma 68.72
_space_group_name_H-M_alt 'P -1'
_space_group_IT_number 2
loop_
_space_group_symop_operation_xyz
'x,y,z'
'-x,-y,-z'
loop_
_atom_site_label
_atom_site_type_symbol
_atom_site_fract_x
_atom_site_fract_y
_atom_site_fract_z
_atom_site_occupancy
Ga1 Ga 0.0000 0.0000 0.0000 1
Si1 Si 0.5000 0.5000 0.5000 1
Pd1 Pd 0.0328 0.7404 0.4856 1
Pd2 Pd 0.2602 0.5146 0.9650 1
Pd3 Pd 0.4866 0.0331 0.7402 1
# - Crystal system: triclinic
# - Uncorrected energy: -5.278 eV per atom

---

Number 1: M_tot 0.0000 μB per atom. Number 2: M_tot 0.0000 μB per atom. Number 3: M_tot 0.0000 μB per atom. Number 4: M_tot 0.0000 μB per atom. Number 5: M_tot 0.0000 μB per atom. Number 6: M_tot 0.0000 μB per atom. Number 7: M_tot 0.0000 μB per atom. Number 8: M_tot 0.0000 μB per atom.